(1)
Compound: ZrTl3Ir
Source: Alexandria
Functional: PBE-GGA
Structure: relaxed

Computed properties:
- excess energy over the best structure of this formula in the dataset (meV/atom) = 0
- density (g cm⁻³) = 10.571
- calculated formation energy (eV/atom) = 0.74
- total magnetization (μB/f.u.) = 1.47
- electronic total energy (eV/atom) = -4.166

Lattice parameters (Å, degrees): 5.2029 5.2029 5.2029 90.00 90.00 90.00
Space group Pm-3m (No. 221)
Symmetry-distinct sites (fractional):
Zr (0.0000, 0.0000, 0.0000) x1
Tl (0.0000, 0.5000, 0.5000) x3
Ir (0.5000, 0.5000, 0.5000) x1

---

(2)
Compound: Tb4Er10Zr
Source: Alexandria
Functional: PBE-GGA
Structure: relaxed

Computed properties:
- density (g cm⁻³) = 8.403
- calculated formation energy (eV/atom) = 0.24
- total magnetization (μB/f.u.) = 0.00
- electronic total energy (eV/atom) = -4.603

Lattice parameters (Å, degrees): 11.1014 11.1014 7.6950 90.00 90.00 90.00
Space group I4/mmm (No. 139)
Symmetry-distinct sites (fractional):
Tb (0.2277, 0.2277, 0.0000) x8
Er (0.0000, 0.2072, 0.2886) x16
Er (0.0000, 0.5000, 0.2500) x4
Zr (0.0000, 0.0000, 0.0000) x2

---

The lowest electronic total energy belongs to which entry?
Tb4Er10Zr

---

Look up the total magnetization of the second one.
0.00 μB/f.u.

---

The highest electronic total energy belongs to which entry?
ZrTl3Ir

---

What is the formula in the first record?
ZrTl3Ir